Arrangement 1

The following is a DFT calculation (GGA+U) of a relaxed Mg2WF crystal.

Computed properties:
D(E_F) ... 1.172 states/eV/f.u.

a b c (Å): 5.8490 5.8490 5.8490
angles (deg): 110.19 110.19 108.05
Closest atoms and distances in Å follow each position.
Element x y z (fractional)
1 Mg 0.0217 0.6250 0.8967  2 F 2.12
2 Mg 0.3750 0.2717 0.3967  2 F 2.12
3 Mg 0.7283 0.1250 0.1033  2 F 2.12
4 Mg 0.8750 0.9783 0.6033  2 F 2.12
5 W 0.2500 0.7500 0.5000  8 Mg 3.02-3.23
6 W 0.5000 0.5000 0.0000  8 Mg 3.02-3.23
7 F 0.0000 0.0000 0.0000  4 Mg 2.12
8 F 0.7500 0.2500 0.5000  4 Mg 2.12

Arrangement 2

The following is a DFT calculation (GGA+U) of a relaxed Mg2WF crystal.

Computed properties:
D(E_F) ... 0.852 states/eV/f.u.

a b c (Å): 4.8826 4.8826 4.8826
angles (deg): 60.00 60.00 60.00
Closest atoms and distances in Å follow each position.
Element x y z (fractional)
1 Mg 0.2500 0.2500 0.2500  4 F 2.99, 4 W 2.99
2 Mg 0.7500 0.7500 0.7500  4 F 2.99, 4 W 2.99
3 W 0.0000 0.0000 0.0000  8 Mg 2.99
4 F 0.5000 0.5000 0.5000  8 Mg 2.99

What are the relative energies? In kJ/mol of atoms: arrangement 1 0.0; arrangement 2 48.7.